DFT (PBE with a Hubbard U) results for a relaxed structure of Mn2Cu2O.

Cell and atoms, written as CIF:
```
data_Mn2Cu2O
_chemical_formula_sum 'Mn4 Cu4 O2'
_cell_length_a 5.833
_cell_length_b 5.833
_cell_length_c 4.075
_cell_angle_alpha 90.00
_cell_angle_beta 90.00
_cell_angle_gamma 90.00
_symmetry_space_group_name_H-M 'P 1'
_symmetry_Int_Tables_number 1
loop_
_symmetry_equiv_pos_as_xyz
'x,y,z'
loop_
_atom_site_label
_atom_site_type_symbol
_atom_site_fract_x
_atom_site_fract_y
_atom_site_fract_z
Mn1 Mn 0.165 0.665 0.500
Mn2 Mn 0.665 0.835 0.500
Mn3 Mn 0.835 0.335 0.500
Mn4 Mn 0.335 0.165 0.500
O1 O 0.000 0.000 0.000
O2 O 0.500 0.500 0.000
Cu1 Cu 0.354 0.854 0.000
Cu2 Cu 0.854 0.646 0.000
Cu3 Cu 0.646 0.146 0.000
Cu4 Cu 0.146 0.354 0.000
```

Properties
Mass density: 6.06 Mg/m³
Raw total energy: -54.1 eV per cell
Magnetization: 18.10 μB/cell